PBE AlOsPb2O6, relaxed; D(E_F) = 2.4 states/eV per cell; formation energy from raw total energies = -1.45 eV per atom
1.0
0.000 3.932 3.932
3.932 0.000 3.932
3.932 3.932 0.000
Al Os Pb O
1 1 2 6
Direct
0.000 0.000 0.000
0.500 0.500 0.500
0.250 0.250 0.250
0.750 0.750 0.750
0.247 0.247 0.753
0.247 0.753 0.247
0.247 0.753 0.753
0.753 0.247 0.247
0.753 0.247 0.753
0.753 0.753 0.247

PBE Hf6ZnRh5, relaxed; energy = -106.647 eV per cell; D(E_F) = 10.8 states/eV per cell
1.0
7.318 -3.283 0.000
7.318 3.283 0.000
-1.435 0.000 4.398
Hf Zn Rh
6 1 5
Direct
0.080 0.586 0.332
0.245 0.755 0.000
0.414 0.920 0.668
0.586 0.080 0.332
0.755 0.245 0.000
0.920 0.414 0.668
0.500 0.500 0.500
0.000 0.000 0.500
0.173 0.173 0.174
0.340 0.340 0.839
0.660 0.660 0.161
0.827 0.827 0.826